La6Ga2SeI3 | the Alexandria database | PBE | optimized geometry; raw formation energy = -1.087 eV/atom; space-group type = No. 12
1.0
3.861 -6.680 0.000
3.861 6.680 0.000
-2.565 0.000 7.724
La Ga Se I
6 2 1 3
direct
0.094 0.430 0.791
0.233 0.233 0.208
0.430 0.094 0.791
0.570 0.906 0.209
0.767 0.767 0.792
0.906 0.570 0.209
0.167 0.833 0.000
0.833 0.167 0.000
0.500 0.500 0.000
0.000 0.000 0.500
0.333 0.667 0.500
0.667 0.333 0.500

TaZnBr2 | the Alexandria database | PBE | optimized geometry; raw formation energy = 0.288 eV/atom; space-group type = No. 10; distance to the lowest polymorph of the same formula = 466 meV per atom
1.0
3.244 0.000 0.000
0.000 4.545 0.000
-0.164 0.000 5.709
Ta Zn Br
1 1 2
direct
0.000 0.000 0.000
0.500 0.000 0.500
0.165 0.500 0.241
0.835 0.500 0.759

La2PmHoIn2 | the Alexandria database | PBE | optimized geometry; ΔE_f = -0.3570 eV/atom; space-group type = No. 26
1.0
5.219 0.000 0.000
0.000 10.298 0.000
0.000 0.000 6.913
La Pm Ho In
4 2 2 4
direct
0.000 0.058 0.000
0.000 0.942 0.500
0.500 0.179 0.232
0.500 0.821 0.732
0.500 0.458 0.876
0.500 0.542 0.376
0.000 0.310 0.597
0.000 0.690 0.097
0.000 0.382 0.140
0.000 0.618 0.640
0.500 0.149 0.715
0.500 0.851 0.215

BaYCu2F8 | the Alexandria database | PBE | optimized geometry; raw formation energy = -2.729 eV/atom; space-group type = No. 164
1.0
5.940 0.000 0.000
-2.970 5.144 0.000
0.000 0.000 7.618
Ba Y Cu F
1 1 2 8
direct
0.000 0.000 0.000
0.000 0.000 0.500
0.333 0.667 0.194
0.667 0.333 0.806
0.155 0.310 0.304
0.155 0.845 0.304
0.310 0.155 0.696
0.333 0.667 0.947
0.667 0.333 0.053
0.690 0.845 0.304
0.845 0.155 0.696
0.845 0.690 0.696